Record 1
TmPuTh2: relaxed, PBE.

Lattice parameters (Å, degrees): 4.693 5.052 5.052 90.00 90.00 90.00
Last column: magnetic moment on the atom in μB.
Atoms (fractional coordinates):
Tm1 0.500 0.500 0.500  0.04
Th1 0.000 0.000 0.500  0.15
Th2 0.000 0.500 0.000  0.15
Pu1 0.500 0.000 0.000  5.40

The space group is P4/mmm. The value obtained for the total energy is -8.327 eV per atom. The density of states at the Fermi level is 10.0 states/eV/cell. The total magnetization is 6.262 μB per cell. The value obtained for the formation energy from the elements is 0.084 eV/atom.

***

Record 2
Na2SiRuI: relaxed, PBE.

Lattice parameters (Å, degrees): 5.727 4.476 5.727 90.00 90.00 90.00
Last column: magnetic moment on the atom in μB.
Atoms (fractional coordinates):
I1 0.500 0.500 0.500  0.06
Ru1 0.000 0.500 0.000  1.24
Si1 0.000 0.000 0.000  -0.02
Na1 0.000 0.000 0.500  0.00
Na2 0.500 0.000 0.000  0.00

The space group is P4/mmm. The value obtained for the total energy is -3.529 eV per atom. The density of states at the Fermi level is 2.5 states/eV/cell. The total magnetization is 1.588 μB per cell. Its formation energy from raw total energies is 0.248 eV per atom.

***

Record 3
YTeCl2: relaxed, PBE.

Lattice parameters (Å, degrees): 4.725 4.725 10.229 76.65 76.65 90.00
Last column: magnetic moment on the atom in μB.
Atoms (fractional coordinates):
Y1 0.500 0.500 0.000  0.05
Y2 0.250 0.750 0.500  0.05
Te1 0.000 0.000 0.000  0.37
Te2 0.750 0.250 0.500  0.37
Cl1 0.574 0.125 0.250  0.08
Cl2 0.176 0.625 0.250  0.08
Cl3 0.375 0.426 0.750  0.09
Cl4 0.875 0.824 0.750  0.09

The space group is I-42d. The value obtained for the total energy is -4.469 eV per atom. The density of states at the Fermi level is 2.0 states/eV/cell. The total magnetization is 1.891 μB per cell. Its formation energy from raw total energies is -1.144 eV per atom.

***

Record 4
MnTl2Zn: relaxed, PBE.

Lattice parameters (Å, degrees): 3.279 3.279 8.257 90.00 90.00 90.00
Last column: magnetic moment on the atom in μB.
Atoms (fractional coordinates):
Mn1 0.500 0.500 0.707  3.59
Tl1 0.000 0.000 0.950  -0.02
Tl2 0.500 0.500 0.286  -0.01
Zn1 0.000 0.000 0.557  -0.05

The space group is P4mm. The value obtained for the total energy is -3.533 eV per atom. The density of states at the Fermi level is 1.5 states/eV/cell. The total magnetization is 3.580 μB per cell. The value obtained for the formation energy from the elements is 0.261 eV/atom.

***

Record 5
CeInS2: relaxed, PBE.

Lattice parameters (Å, degrees): 5.895 5.895 7.511 113.11 113.11 90.00
Last column: magnetic moment on the atom in μB.
Atoms (fractional coordinates):
Ce1 0.750 0.250 0.500  0.96
Ce2 0.000 0.000 0.000  0.96
In1 0.500 0.500 0.000  -0.01
In2 0.250 0.750 0.500  -0.01
S1 0.775 0.775 0.549  -0.02
S2 0.525 0.025 0.049  -0.02
S3 0.225 0.225 0.451  -0.02
S4 0.975 0.475 0.951  -0.02

The space group is I4_1/amd. The value obtained for the total energy is -5.460 eV per atom. The density of states at the Fermi level is 13.4 states/eV/cell. The total magnetization is 1.984 μB per cell. Its formation energy from raw total energies is -1.228 eV per atom.

***

Record 6
NdNpSe3: relaxed, PBE.

Lattice parameters (Å, degrees): 4.152 7.760 16.146 90.00 90.00 90.00
Last column: magnetic moment on the atom in μB.
Atoms (fractional coordinates):
Nd1 0.750 0.871 0.796  0.04
Nd2 0.250 0.129 0.204  0.04
Nd3 0.750 0.371 0.704  0.04
Nd4 0.250 0.629 0.296  0.04
Np1 0.250 0.266 0.961  3.87
Np2 0.250 0.766 0.539  3.87
Np3 0.750 0.234 0.461  3.87
Np4 0.750 0.734 0.039  3.87
Se1 0.250 0.375 0.566  -0.07
Se2 0.750 0.844 0.216  -0.03
Se3 0.750 0.491 0.896  -0.08
Se4 0.750 0.991 0.604  -0.08
Se5 0.750 0.625 0.434  -0.07
Se6 0.250 0.009 0.396  -0.08
Se7 0.250 0.875 0.934  -0.07
Se8 0.750 0.344 0.284  -0.03
Se9 0.250 0.656 0.716  -0.03
Se10 0.250 0.156 0.784  -0.03
Se11 0.750 0.125 0.066  -0.07
Se12 0.250 0.509 0.104  -0.08

The space group is Pnma. The value obtained for the total energy is -7.155 eV per atom. The density of states at the Fermi level is 45.3 states/eV/cell. The total magnetization is 15.809 μB per cell. Its formation energy from raw total energies is -1.523 eV per atom.

***

Record 7
DyErZr: relaxed, PBE.

Lattice parameters (Å, degrees): 4.988 3.337 10.122 99.35 90.00 90.00
Atoms (fractional coordinates):
Dy1 0.347 0.046 0.507
Dy2 0.847 0.944 0.316
Er1 0.347 0.364 0.152
Er2 0.847 0.626 0.671
Zr1 0.847 0.782 0.987
Zr2 0.347 0.208 0.837

The space group is P2_1/m. The value obtained for the total energy is -5.780 eV per atom. The density of states at the Fermi level is 8.6 states/eV/cell. The total magnetization is 0.000 μB per cell. The value obtained for the formation energy from the elements is 0.124 eV/atom.

***

Record 8
Sb2Pt2I: relaxed, PBE.

Lattice parameters (Å, degrees): 3.997 3.997 8.709 76.73 76.73 90.00
Atoms (fractional coordinates):
I1 0.000 0.000 0.000
Sb1 0.361 0.361 0.279
Sb2 0.639 0.639 0.721
Pt1 0.750 0.250 0.500
Pt2 0.250 0.750 0.500

The space group is I4/mmm. The value obtained for the total energy is -4.684 eV per atom. The density of states at the Fermi level is 1.4 states/eV/cell. The total magnetization is 0.000 μB per cell. Its formation energy from raw total energies is -0.309 eV per atom.

***

Copy entry 7 word for word.
DyErZr: relaxed, PBE.

Lattice parameters (Å, degrees): 4.988 3.337 10.122 99.35 90.00 90.00
Atoms (fractional coordinates):
Dy1 0.347 0.046 0.507
Dy2 0.847 0.944 0.316
Er1 0.347 0.364 0.152
Er2 0.847 0.626 0.671
Zr1 0.847 0.782 0.987
Zr2 0.347 0.208 0.837

The space group is P2_1/m. The value obtained for the total energy is -5.780 eV per atom. The density of states at the Fermi level is 8.6 states/eV/cell. The total magnetization is 0.000 μB per cell. The value obtained for the formation energy from the elements is 0.124 eV/atom.

***

- What is the formula in the sixth record?
  NdNpSe3